Record 1
! Mn2AgBrF, relaxed, DFT PBE with a Hubbard U; values from VASP
&SYSTEM
  ibrav = 0, nat = 5, ntyp = 4
/
ATOMIC_SPECIES
Mn 54.94 Mn.upf
Br 79.90 Br.upf
Ag 107.87 Ag.upf
F 19.00 F.upf
CELL_PARAMETERS angstrom
5.113 0.000 0.000
0.000 5.361 0.000
0.000 0.000 5.113
ATOMIC_POSITIONS angstrom
Mn 0.000 0.000 2.557
Mn 2.557 0.000 0.000
Br 0.000 0.000 0.000
Ag 0.000 2.681 0.000
F 2.557 2.681 2.557
! D(E_F): 0.494 states/eV per atom

***

Record 2
An optimized crystal structure of Ag3MoBr2F6. Source: Alexandria via LeMat-Bulk, functional PBE with a Hubbard U. Values from VASP.

The structure in Quantum ESPRESSO input format:
```
&SYSTEM
  ibrav = 0, nat = 12, ntyp = 4
/
ATOMIC_SPECIES
Ag 107.87 Ag.upf
Mo 95.94 Mo.upf
Br 79.90 Br.upf
F 19.00 F.upf
CELL_PARAMETERS angstrom
4.899 0.000 -0.030
0.000 7.394 0.000
-0.781 -3.697 7.000
ATOMIC_POSITIONS angstrom
Ag 0.000 3.697 0.000
Ag 2.059 1.848 3.485
Ag 2.059 -1.848 3.485
Mo 2.450 0.000 -0.015
Br 0.501 3.697 2.567
Br 3.617 0.000 4.402
F 3.469 1.403 0.812
F 0.649 2.294 6.158
F 2.822 3.697 5.413
F 1.296 0.000 1.556
F 0.649 -2.294 6.158
F 3.469 5.991 0.812
```

***

Number 1: total magnetic moment 8.87 μB per formula unit, final energy -3.700 eV/atom. Number 2: total magnetic moment 0.97 μB per formula unit, final energy -4.028 eV/atom.